No. 1
First-principles (PBE) data for KReHg2 after structural relaxation, as listed in the Alexandria database.

CIF file:
```
data_KReHg2
_chemical_formula_sum 'K1 Re1 Hg2'
_cell_length_a 5.215
_cell_length_b 5.215
_cell_length_c 5.215
_cell_angle_alpha 60.00
_cell_angle_beta 60.00
_cell_angle_gamma 60.00
_space_group_name_H-M_alt 'P 1'
_space_group_IT_number 1
loop_
_space_group_symop_operation_xyz
'x,y,z'
loop_
_atom_site_label
_atom_site_type_symbol
_atom_site_fract_x
_atom_site_fract_y
_atom_site_fract_z
_atom_site_occupancy
Re1 Re 0.750 0.750 0.750 1
Hg1 Hg 0.250 0.250 0.250 1
Hg2 Hg 0.000 0.000 0.000 1
K1 K 0.500 0.500 0.500 1
```

Output
total moment	3.8	μB/f.u.
DFT formation energy	1.253	eV per atom
polymorph energy (0 for the lowest one)	542	meV/atom
energy	-2.2845	eV/atom


No. 2
First-principles (PBE) data for LiAc2As4Ir3 after structural relaxation, as listed in the Alexandria database.

CIF file:
```
data_LiAc2As4Ir3
_chemical_formula_sum 'Li1 Ac2 As4 Ir3'
_cell_length_a 4.502
_cell_length_b 4.502
_cell_length_c 9.887
_cell_angle_alpha 90.00
_cell_angle_beta 90.00
_cell_angle_gamma 90.00
_space_group_name_H-M_alt 'P 1'
_space_group_IT_number 1
loop_
_space_group_symop_operation_xyz
'x,y,z'
loop_
_atom_site_label
_atom_site_type_symbol
_atom_site_fract_x
_atom_site_fract_y
_atom_site_fract_z
_atom_site_occupancy
Ac1 Ac 0.000 0.500 0.752 1
Ac2 Ac 0.500 0.000 0.248 1
Li1 Li 0.500 0.500 0.500 1
As1 As 0.500 0.000 0.630 1
As2 As 0.000 0.000 0.000 1
As3 As 0.000 0.500 0.370 1
As4 As 0.500 0.500 0.000 1
Ir1 Ir 0.000 0.000 0.500 1
Ir2 Ir 0.000 0.500 0.112 1
Ir3 Ir 0.500 0.000 0.888 1
```

Output
total moment	0.0	μB/f.u.
DFT formation energy	-0.820	eV per atom
energy	-6.3514	eV/atom


No. 3
First-principles (PBE) data for Bi14PdBr16 after structural relaxation, as listed in the Alexandria database.

CIF file:
```
data_Bi14PdBr16
_chemical_formula_sum 'Bi14 Pd1 Br16'
_cell_length_a 11.332
_cell_length_b 11.881
_cell_length_c 11.647
_cell_angle_alpha 122.60
_cell_angle_beta 104.17
_cell_angle_gamma 97.02
_space_group_name_H-M_alt 'P 1'
_space_group_IT_number 1
loop_
_space_group_symop_operation_xyz
'x,y,z'
loop_
_atom_site_label
_atom_site_type_symbol
_atom_site_fract_x
_atom_site_fract_y
_atom_site_fract_z
_atom_site_occupancy
Bi1 Bi 0.387 0.646 0.532 1
Bi2 Bi 0.031 0.715 0.898 1
Bi3 Bi 0.126 0.144 0.892 1
Bi4 Bi 0.613 0.354 0.468 1
Bi5 Bi 0.969 0.285 0.102 1
Bi6 Bi 0.000 0.185 0.309 1
Bi7 Bi 0.874 0.856 0.108 1
Bi8 Bi 0.660 0.594 0.207 1
Bi9 Bi 0.000 0.815 0.691 1
Bi10 Bi 0.828 0.014 0.769 1
Bi11 Bi 0.254 0.958 0.974 1
Bi12 Bi 0.340 0.406 0.793 1
Bi13 Bi 0.172 0.986 0.231 1
Bi14 Bi 0.746 0.042 0.026 1
Br1 Br 0.226 0.517 0.635 1
Br2 Br 0.543 0.690 0.041 1
Br3 Br 0.152 0.146 0.596 1
Br4 Br 0.372 0.364 0.296 1
Br5 Br 0.848 0.854 0.404 1
Br6 Br 0.529 0.762 0.432 1
Br7 Br 0.850 0.368 0.623 1
Br8 Br 0.446 0.926 0.784 1
Br9 Br 0.457 0.310 0.959 1
Br10 Br 0.810 0.508 0.042 1
Br11 Br 0.554 0.074 0.216 1
Br12 Br 0.774 0.483 0.365 1
Br13 Br 0.628 0.636 0.704 1
Br14 Br 0.471 0.238 0.568 1
Br15 Br 0.190 0.492 0.958 1
Br16 Br 0.150 0.632 0.377 1
Pd1 Pd 0.000 0.000 0.000 1
```

Output
total moment	0.0	μB/f.u.
energy	-3.2983	eV/atom